Na5SrPb2 after structural relaxation, computed with PBE-GGA. Values from VASP.

```
&SYSTEM
  ibrav = 0, nat = 8, ntyp = 3
/
ATOMIC_SPECIES
Na 22.99 Na.upf
Pb 207.20 Pb.upf
Sr 87.62 Sr.upf
CELL_PARAMETERS angstrom
4.853 0.000 0.000
2.427 7.658 -0.720
2.427 1.617 7.520
ATOMIC_POSITIONS angstrom
Na 4.853 5.136 6.082
Na 4.853 7.346 3.068
Na 4.853 4.139 0.717
Na 2.427 4.637 3.400
Na 4.853 1.929 3.731
Pb 7.280 7.228 5.299
Pb 2.427 2.046 1.500
Sr 0.000 0.000 0.000
```

Computed properties:
- Total moment: 0.000 μB per atom
- V: 35.6 A^3/atom
- Crystal system: orthorhombic
- SG: Immm
- E_form: -0.16 eV/atom